1.
VASP calculation (GGA-PBE) on a relaxed FeReSn3 crystal.

Structure (extended XYZ):
```
5
Lattice="5.181 0.000 0.000 0.000 5.181 0.000 0.000 0.000 5.181" Properties=species:S:1:pos:R:3 pbc="T T T"
Sn 2.591 0.000 0.000
Re 0.000 0.000 0.000
Sn 0.000 2.591 0.000
Fe 2.591 2.591 2.591
Sn 0.000 0.000 2.591
```

Summary:
density of states at the Fermi level: 1.02 states/eV/cell
crystal system: cubic
size of the total moment: 0.60 μB/atom

---

2.
VASP calculation (GGA-PBE) on a relaxed FeReSn3 crystal.

Structure (extended XYZ):
```
5
Lattice="-2.862 3.359 -2.035 -2.123 -3.442 -2.695 -3.304 -0.698 3.495" Properties=species:S:1:pos:R:3 pbc="T T T"
Fe 0.000 0.000 0.000
Re -4.145 -0.390 -0.618
Sn -1.062 -1.721 -1.347
Sn -1.652 -0.349 1.747
Sn -1.431 1.680 -1.018
```

Summary:
density of states at the Fermi level: 6.03 states/eV/cell
crystal system: cubic
size of the total moment: 0.60 μB/atom

---

Short version: 1, 2, most stable first.